OsRhNF2, optimized geometry, DFT PBE-GGA; space group = P4/mmm, No. 123; crystal system = tetragonal; electronic total energy = -29.1 eV for the cell shown; raw formation energy = 315.0 meV per atom; energy above the most stable polymorph in this dataset = 0.000 eV per atom
1.0
4.2564 0.0000 0.0000
0.0000 4.2564 0.0000
0.0000 0.0000 3.7498
Os Rh N F
1 1 1 2
Cartesian
0.0000 0.0000 0.0000
2.1282 2.1282 1.8749
0.0000 0.0000 1.8749
0.0000 2.1282 0.0000
2.1282 0.0000 0.0000

---

Nd2ErAg, optimized geometry, DFT PBE-GGA; space group = Fm-3m, No. 225; crystal system = cubic; electronic total energy = -16.7 eV for the cell shown; formation energy from the elements = 21 kJ/mol of formula units; energy above the most stable polymorph in this dataset = 0.165 eV per atom
1.0
0.0000 3.8743 3.8743
3.8743 0.0000 3.8743
3.8743 3.8743 0.0000
Nd Er Ag
2 1 1
Cartesian
1.9371 1.9371 1.9371
5.8114 5.8114 5.8114
0.0000 0.0000 0.0000
3.8743 3.8743 3.8743

---

Q: Among the records above, which one has the lowest energy above the most stable polymorph in this dataset?
A: OsRhNF2

---

Q: Among the records above, which one has the lowest energy above the most stable polymorph in this dataset?
A: OsRhNF2

---

Q: The lowest electronic total energy belongs to which entry?
A: OsRhNF2